TlVF3 | PBE with a Hubbard U | relaxed

Calculated total energy: -0.1894 hartree per atom
Space-group type: Cmcm

Cell lengths 8.776, 8.776, 5.160 Å; angles 90.00, 90.00, 140.71 degrees
Fractional coordinates of all 10 atoms:
Tl 0.183 0.817 0.750
Tl 0.817 0.183 0.250
V 0.406 0.594 0.750
V 0.594 0.406 0.250
F 0.088 0.455 0.750
F 0.455 0.088 0.250
F 0.500 0.500 0.000
F 0.500 0.500 0.500
F 0.545 0.912 0.750
F 0.912 0.545 0.250